A relaxed structure of Ca4V6F19. Source: Alexandria via LeMat-Bulk, functional GGA+U.

Calculated values
- Energy: -6.02 eV per atom
- Volume: 14.548 A^3/atom

Unit cell a=9.4496 b=9.4496 c=9.4496 alpha=90.00 beta=90.00 gamma=90.00
Last column: nearest neighbours and their distance in Å.
Space group I23 (No. 197)
Asymmetric unit:
1 Ca 0.1474 0.1474 0.1474 x8  4 F 2.29-2.41
2 V 0.0000 0.1600 0.5000 x12  6 F 2.10-2.23
3 F 0.0000 0.0000 0.0000 x2  4 Ca 2.41
4 F 0.0000 0.0000 0.3259 x12  2 V 2.23
5 F 0.0489 0.2841 0.3212 x24  2 V 2.10-2.11, 1 Ca 2.29